Compound: Cs2BePdBr6
Source: Alexandria
Functional: PBE-GGA
Structure: optimized geometry

Computed properties:
Total moment ... 0.000 μB/atom
E_form (uncorrected) ... -9.394 eV/f.u.
Density ... 4.61 g/cm3
Space-group type ... I4/mmm (139)

a b c (Å): 7.3475 7.3475 7.7486
angles (deg): 61.70 61.70 90.00
Last column: nearest neighbours and their distance in Å.
Element x y z (fractional)
Cs  0.2500  0.7500  0.5000  12 Br 3.69-3.88
Br  0.7265  0.2735  0.0000  1 Be 2.35
Br  0.2735  0.2735  0.0000  1 Be 2.35
Br  0.7830  0.7830  0.4341  1 Pd 2.50
Be  0.5000  0.5000  0.0000  4 Br 2.35
Pd  0.0000  0.0000  0.0000  2 Br 2.50
Br  0.7265  0.7265  0.0000  1 Be 2.35
Br  0.2735  0.7265  0.0000  1 Be 2.35
Br  0.2170  0.2170  0.5659  1 Pd 2.50
Cs  0.7500  0.2500  0.5000  12 Br 3.69-3.88

***

Compound: RbS2O
Source: Alexandria
Functional: PBE-GGA
Structure: optimized geometry

Computed properties:
Total moment ... 0.000 μB/atom
E_form (uncorrected) ... -1.111 eV/f.u.
Density ... 3.04 g/cm3
Space-group type ... I4_1/amd (141)

a b c (Å): 5.5457 5.5457 7.0678
angles (deg): 66.90 66.90 90.00
Last column: nearest neighbours and their distance in Å.
Element x y z (fractional)
O  0.5000  0.5000  0.0000  4 S 2.02
S  0.8750  0.6250  0.7500  2 O 2.02
Rb  0.7500  0.2500  0.5000  8 S 3.43
O  0.2500  0.7500  0.5000  4 S 2.02
Rb  0.0000  0.0000  0.0000  8 S 3.43
S  0.3750  0.1250  0.2500  2 O 2.02
S  0.3750  0.6250  0.2500  2 O 2.02
S  0.3750  0.6250  0.7500  2 O 2.02

***

Compound: Pm3Zn3Ru2
Source: Alexandria
Functional: PBE-GGA
Structure: optimized geometry

Computed properties:
Total moment ... 0.000 μB/atom
Density ... 8.00 g/cm3
Energy of formation from the pure elements ... -0.28 eV/atom
Space-group type ... Cmcm (63)

a b c (Å): 4.0180 5.6056 16.4521
angles (deg): 90.00 90.00 111.00
Last column: nearest neighbours and their distance in Å.
Element x y z (fractional)
Zn  0.6294  0.2588  0.7500  2 Ru 2.60
Zn  0.6593  0.3186  0.4699  3 Ru 2.60-2.72
Pm  0.9374  0.8748  0.3950  3 Ru 2.97-3.07, 7 Zn 3.16-3.31
Zn  0.3407  0.6814  0.9699  3 Ru 2.60-2.72
Zn  0.6593  0.3186  0.0301  3 Ru 2.60-2.72
Zn  0.3407  0.6814  0.5301  3 Ru 2.60-2.72
Ru  0.7704  0.5408  0.8804  4 Zn 2.60-2.72
Pm  0.3382  0.6765  0.7500  3 Zn 2.97-3.05, 4 Ru 3.02
Zn  0.3706  0.7412  0.2500  2 Ru 2.60
Ru  0.7704  0.5408  0.6196  4 Zn 2.60-2.72
Ru  0.2296  0.4592  0.3804  4 Zn 2.60-2.72
Pm  0.0626  0.1252  0.8950  3 Ru 2.97-3.07, 7 Zn 3.16-3.31
Pm  0.9374  0.8748  0.1050  3 Ru 2.97-3.07, 7 Zn 3.16-3.31
Pm  0.0626  0.1252  0.6050  3 Ru 2.97-3.07, 7 Zn 3.16-3.31
Pm  0.6618  0.3235  0.2500  3 Zn 2.97-3.05, 4 Ru 3.02
Ru  0.2296  0.4592  0.1196  4 Zn 2.60-2.72

***

no.,electronic total energy (eV per atom)
1,-3.006
2,-3.823
3,-4.861